No. 1
This record from Alexandria via LeMat-Bulk describes a relaxed structure of Sc6Bi2H. The functional is GGA-PBE.

abc: 5.8937 5.8937 13.4146
angles: 90.00 90.00 90.00
Fractional positions:
H (0.0000, 0.0000, 0.0000)
H (0.5000, 0.5000, 0.5000)
Sc (0.3180, 0.3180, 0.6121)
Sc (0.3180, 0.3180, 0.3879)
Sc (0.6880, 0.6880, 0.0000)
Sc (0.1820, 0.8180, 0.8879)
Sc (0.8120, 0.1880, 0.5000)
Sc (0.1820, 0.8180, 0.1121)
Sc (0.1880, 0.8120, 0.5000)
Sc (0.8180, 0.1820, 0.8879)
Sc (0.6820, 0.6820, 0.3879)
Sc (0.6820, 0.6820, 0.6121)
Sc (0.8180, 0.1820, 0.1121)
Sc (0.3120, 0.3120, 0.0000)
Bi (0.5000, 0.5000, 0.1960)
Bi (0.0000, 0.0000, 0.6960)
Bi (0.0000, 0.0000, 0.3040)
Bi (0.5000, 0.5000, 0.8040)

- DFT total energy: -0.405 Ry per atom
- Relative energy among the computed polymorphs: 304 meV/atom

---

No. 2
This record from Alexandria via LeMat-Bulk describes a relaxed structure of TaAl2As. The functional is GGA-PBE.

abc: 4.9780 4.9780 4.8381
angles: 85.34 85.34 34.90
Fractional positions:
Ta (0.2510, 0.2510, 0.2635)
As (0.5182, 0.5182, 0.4630)
Al (0.9914, 0.9914, 0.0008)
Al (0.7394, 0.7394, 0.7729)

- DFT total energy: -0.446 Ry per atom
- DFT formation energy: -65 meV/atom

---

No. 3
This record from Alexandria via LeMat-Bulk describes a relaxed structure of ZrVNi2S. The functional is GGA-PBE.

abc: 4.3344 4.3213 4.3344
angles: 90.00 90.00 90.00
Fractional positions:
Zr (0.5000, 0.5000, 0.5000)
Ni (0.5000, 0.0000, 0.0000)
Ni (0.0000, 0.0000, 0.5000)
V (0.0000, 0.0000, 0.0000)
S (0.0000, 0.5000, 0.0000)

- DFT total energy: -0.479 Ry per atom
- Formation energy without anion corrections: 150.3 meV per atom

---

No. 4
This record from Alexandria via LeMat-Bulk describes a relaxed structure of ZnH2Ru2. The functional is GGA-PBE.

abc: 6.4738 6.4738 2.6272
angles: 90.00 90.00 90.00
Each line ends with the local moment (μB).
Fractional positions:
Ru (0.1335, 0.3665, 0.0000)  0.35
Ru (0.8665, 0.6335, 0.0000)  0.35
Ru (0.6335, 0.1335, 0.0000)  0.35
Ru (0.3665, 0.8665, 0.0000)  0.35
H (0.4000, 0.1000, 0.5000)  -0.01
H (0.9000, 0.4000, 0.5000)  -0.01
H (0.6000, 0.9000, 0.5000)  -0.01
H (0.1000, 0.6000, 0.5000)  -0.01
Zn (0.5000, 0.5000, 0.0000)  0.00
Zn (0.0000, 0.0000, 0.0000)  0.00

- DFT total energy: -0.344 Ry per atom
- Relative energy among the computed polymorphs: 501 meV/atom

---

No. 5
This record from Alexandria via LeMat-Bulk describes a relaxed structure of SrU4Pt3S12. The functional is GGA-PBE.

abc: 8.4557 8.4557 8.4557
angles: 109.47 109.47 109.47
Each line ends with the local moment (μB).
Fractional positions:
S (0.3137, 0.1565, 0.4701)  -0.05
S (0.6863, 0.1565, 0.8428)  -0.05
S (0.8435, 0.1572, 0.3137)  -0.05
S (0.5299, 0.6863, 0.8435)  -0.05
S (0.1572, 0.3137, 0.8435)  -0.05
S (0.4701, 0.3137, 0.1565)  -0.05
S (0.3137, 0.8435, 0.1572)  -0.05
S (0.1565, 0.8428, 0.6863)  -0.05
S (0.8435, 0.5299, 0.6863)  -0.05
S (0.6863, 0.8435, 0.5299)  -0.05
S (0.8428, 0.6863, 0.1565)  -0.05
S (0.1565, 0.4701, 0.3137)  -0.05
Sr (0.0000, 0.0000, 0.0000)  0.01
Pt (0.5000, 0.5000, 0.0000)  0.06
Pt (0.5000, 0.0000, 0.5000)  0.06
Pt (0.0000, 0.5000, 0.5000)  0.06
U (0.5000, 0.0000, 0.0000)  1.98
U (0.0000, 0.5000, 0.0000)  1.98
U (0.5000, 0.5000, 0.5000)  1.98
U (0.0000, 0.0000, 0.5000)  1.98

- DFT total energy: -0.495 Ry per atom
- Formation energy without anion corrections: -1008.2 meV per atom

---

No. 6
This record from Alexandria via LeMat-Bulk describes a relaxed structure of LiYGe2Pt5. The functional is GGA-PBE.

abc: 4.1361 4.1361 9.3676
angles: 90.00 90.00 90.00
Fractional positions:
Li (0.0000, 0.0000, 0.0000)
Pt (0.0000, 0.5000, 0.2749)
Pt (0.5000, 0.0000, 0.7251)
Pt (0.0000, 0.5000, 0.7251)
Pt (0.5000, 0.0000, 0.2749)
Pt (0.5000, 0.5000, 0.5000)
Y (0.0000, 0.0000, 0.5000)
Ge (0.5000, 0.5000, 0.8693)
Ge (0.5000, 0.5000, 0.1307)

- DFT total energy: -0.446 Ry per atom
- DFT formation energy: -760 meV/atom

---

No. 7
This record from Alexandria via LeMat-Bulk describes a relaxed structure of Rb4Np3SnTe8. The functional is GGA-PBE.

abc: 9.2858 9.9909 9.2853
angles: 117.68 120.00 90.00
Each line ends with the local moment (μB).
Fractional positions:
Rb (0.0000, 0.0000, 0.5000)  0.00
Rb (0.5000, 0.0000, 0.5000)  0.00
Rb (0.5000, 0.0000, 0.0000)  0.00
Rb (0.0000, 0.0000, 0.0000)  0.00
Sn (0.0000, 0.5000, 0.0000)  -0.01
Te (0.2671, 0.3012, 0.5341)  -0.08
Te (0.2368, 0.6973, 0.4735)  -0.07
Te (0.2762, 0.3026, 0.0395)  -0.07
Te (0.7633, 0.3026, 0.0395)  -0.07
Te (0.7238, 0.6974, 0.9605)  -0.07
Te (0.7329, 0.6988, 0.4659)  -0.08
Te (0.2367, 0.6974, 0.9605)  -0.07
Te (0.7632, 0.3027, 0.5265)  -0.07
Np (0.5000, 0.5000, 0.0000)  3.86
Np (0.5000, 0.5000, 0.5000)  3.86
Np (0.0000, 0.5000, 0.5000)  3.86

- DFT total energy: -0.391 Ry per atom
- Formation energy without anion corrections: -828.0 meV per atom

---

No. 8
This record from Alexandria via LeMat-Bulk describes a relaxed structure of PrThTcBr. The functional is GGA-PBE.

abc: 4.1559 4.1537 8.2113
angles: 90.00 104.66 119.98
Fractional positions:
Br (0.9693, 0.3828, 0.3671)
Th (0.0863, 0.9410, 0.0434)
Tc (0.3226, 0.5591, 0.8962)
Pr (0.4998, 0.1478, 0.6630)

- DFT total energy: -0.484 Ry per atom
- Formation energy without anion corrections: -532.3 meV per atom

---

Here are the calculated theoretical density numbers, same order: 4.91; 7.53; 5.96; 8.13; 7.17; 12.61; 5.78; 7.79 (Mg/m³).